(1)
10
Lattice="-3.582 0.233 -2.649 2.542 -1.003 -3.526 -1.849 -10.289 1.594" Properties=species:S:1:pos:R:3 comment="Ac2Al4Cu3Hg, relaxed, DFT PBE" m_tot_mub_per_atom=0.0000 formation_energy_ev_per_atom=-0.333 crystal_system=tetragonal sg="P-4m2 (115)" energy_ev_per_atom=-3.9109 pbc="T T T"
Ac -2.246 -2.415 -0.932
Ac -0.123 -8.259 -0.561
Al 0.607 -4.200 -1.190
Al -0.520 -0.385 -3.087
Al -2.975 -6.474 -0.303
Al 0.000 0.000 0.000
Cu -0.924 -5.145 0.797
Cu -3.416 -8.930 0.077
Cu 1.048 -1.744 -1.570
Hg -1.444 -5.530 -2.290

(2)
10
Lattice="5.348 -0.010 0.013 0.016 8.516 0.186 2.672 4.382 4.679" Properties=species:S:1:pos:R:3 comment="Ac2AlInCu6, relaxed, DFT PBE" m_tot_mub_per_atom=0.0000 formation_energy_ev_per_atom=-0.166 crystal_system=monoclinic sg="C2/m (12)" energy_ev_per_atom=-4.0935 pbc="T T T"
Cu 1.325 6.469 0.452
Cu 2.680 5.713 2.430
Cu 3.988 6.424 4.419
Cu 6.711 6.417 4.426
Cu 4.047 6.463 0.459
Cu 5.356 7.173 2.448
Ac 2.686 8.998 2.453
Ac 5.350 3.889 2.425
Al 2.672 4.382 4.679
In 2.682 4.253 0.100

(3)
10
Lattice="-2.976 -3.307 -0.234 3.286 -2.902 -0.791 1.024 -1.648 10.296" Properties=species:S:1:pos:R:3 comment="Ac2Al3InCu4, relaxed, DFT PBE" m_tot_mub_per_atom=0.0000 formation_energy_ev_per_atom=-0.315 crystal_system=tetragonal sg="P-4m2 (115)" energy_ev_per_atom=-4.1717 pbc="T T T"
Al 0.512 -0.824 5.148
Al 1.761 -1.641 0.793
Al -0.583 -3.112 8.991
In 0.667 -3.929 4.636
Cu -0.831 -2.712 6.495
Cu 2.010 -2.041 3.289
Cu 0.000 0.000 0.000
Cu 0.155 -3.104 -0.512
Ac 2.425 -2.709 7.463
Ac -1.246 -2.044 2.321

Repeat the second record exactly.
10
Lattice="5.348 -0.010 0.013 0.016 8.516 0.186 2.672 4.382 4.679" Properties=species:S:1:pos:R:3 comment="Ac2AlInCu6, relaxed, DFT PBE" m_tot_mub_per_atom=0.0000 formation_energy_ev_per_atom=-0.166 crystal_system=monoclinic sg="C2/m (12)" energy_ev_per_atom=-4.0935 pbc="T T T"
Cu 1.325 6.469 0.452
Cu 2.680 5.713 2.430
Cu 3.988 6.424 4.419
Cu 6.711 6.417 4.426
Cu 4.047 6.463 0.459
Cu 5.356 7.173 2.448
Ac 2.686 8.998 2.453
Ac 5.350 3.889 2.425
Al 2.672 4.382 4.679
In 2.682 4.253 0.100